No. 1
Computed, not measured: an optimized crystal structure of Rb2U2IrS6 at the PBE level of DFT.

Lattice parameters (Å, degrees): 6.464 6.464 8.393 98.00 98.00 118.79
Fractional coordinates of all 11 atoms:
Rb1 0.172 0.828 0.000
Rb2 0.828 0.172 0.000
U1 0.329 0.671 0.500
U2 0.671 0.329 0.500
Ir1 0.000 0.000 0.500
S1 0.072 0.376 0.688
S2 0.239 0.239 0.319
S3 0.376 0.072 0.688
S4 0.624 0.928 0.312
S5 0.761 0.761 0.681
S6 0.928 0.624 0.312

Values from the calculation:
Raw total energy = -0.234 hartree per atom

***

No. 2
Computed, not measured: an optimized crystal structure of Pt2AuS2 at the PBE level of DFT.

Lattice parameters (Å, degrees): 6.183 6.183 6.183 142.13 142.13 54.64
Fractional coordinates of all 5 atoms:
Pt1 0.119 0.119 0.000
Pt2 0.881 0.881 0.000
Au1 0.500 0.500 0.000
S1 0.250 0.750 0.500
S2 0.750 0.250 0.500

Values from the calculation:
Raw total energy = -0.160 hartree per atom
Polymorph energy (0 for the lowest one) = 78 meV/atom

***

No. 3
Computed, not measured: an optimized crystal structure of KAsPt2 at the PBE level of DFT.

Lattice parameters (Å, degrees): 9.880 9.880 9.880 17.54 17.54 17.54
Fractional coordinates of all 4 atoms:
K1 0.000 0.000 0.000
As1 0.500 0.500 0.500
Pt1 0.237 0.237 0.237
Pt2 0.763 0.763 0.763

Values from the calculation:
Formation enthalpy at 0 K = 0.1472 eV/atom
Raw total energy = -0.158 hartree per atom

***

No. 4
Computed, not measured: an optimized crystal structure of Mo2Ir3Rh3 at the PBE level of DFT.

Lattice parameters (Å, degrees): 3.878 3.898 7.719 90.00 90.00 90.00
Fractional coordinates of all 8 atoms:
Mo1 0.000 0.000 0.249
Mo2 0.000 0.000 0.751
Ir1 0.000 0.500 0.500
Ir2 0.500 0.000 0.000
Ir3 0.500 0.000 0.500
Rh1 0.000 0.500 0.000
Rh2 0.500 0.500 0.251
Rh3 0.500 0.500 0.749

Values from the calculation:
Formation enthalpy at 0 K = -0.2323 eV/atom
Raw total energy = -0.331 hartree per atom
Polymorph energy (0 for the lowest one) = 0 meV/atom

***

No. 5
Computed, not measured: an optimized crystal structure of Be2SnPd at the PBE level of DFT.

Lattice parameters (Å, degrees): 4.267 4.267 4.267 60.00 60.00 60.00
Fractional coordinates of all 4 atoms:
Be1 0.250 0.250 0.250
Be2 0.750 0.750 0.750
Sn1 0.000 0.000 0.000
Pd1 0.500 0.500 0.500

Values from the calculation:
Formation enthalpy at 0 K = 0.1208 eV/atom
Raw total energy = -0.149 hartree per atom
Polymorph energy (0 for the lowest one) = 0 meV/atom

***

No. 6
Computed, not measured: an optimized crystal structure of Sr2ZrHg at the PBE level of DFT.

Lattice parameters (Å, degrees): 5.601 5.601 5.601 60.00 60.00 60.00
Fractional coordinates of all 4 atoms:
Sr1 0.000 0.000 0.000
Sr2 0.250 0.250 0.250
Zr1 0.750 0.750 0.750
Hg1 0.500 0.500 0.500

Values from the calculation:
Formation enthalpy at 0 K = 0.3591 eV/atom
Raw total energy = -0.099 hartree per atom

***

No. 7
Computed, not measured: an optimized crystal structure of Y3Hg8 at the PBE level of DFT.

Lattice parameters (Å, degrees): 7.095 7.095 7.095 106.24 106.24 106.24
Fractional coordinates of all 11 atoms:
Y1 0.000 0.500 0.500
Y2 0.500 0.000 0.500
Y3 0.500 0.500 0.000
Hg1 0.016 0.687 0.170
Hg2 0.170 0.016 0.687
Hg3 0.298 0.298 0.298
Hg4 0.313 0.830 0.984
Hg5 0.687 0.170 0.016
Hg6 0.702 0.702 0.702
Hg7 0.830 0.984 0.313
Hg8 0.984 0.313 0.830

Values from the calculation:
Formation enthalpy at 0 K = -0.1408 eV/atom
Raw total energy = -0.078 hartree per atom
Polymorph energy (0 for the lowest one) = 194 meV/atom

***

No. 8
Computed, not measured: an optimized crystal structure of In3SnH4 at the PBE level of DFT.

Lattice parameters (Å, degrees): 5.216 5.314 5.824 109.46 105.60 108.53
Fractional coordinates of all 8 atoms:
In1 0.000 0.000 0.000
In2 0.216 0.413 0.732
In3 0.784 0.587 0.268
Sn1 0.500 0.000 0.500
H1 0.037 0.328 0.325
H2 0.474 0.197 0.224
H3 0.526 0.803 0.776
H4 0.963 0.672 0.675

Values from the calculation:
Raw total energy = -0.105 hartree per atom

***

No. 9
Computed, not measured: an optimized crystal structure of CuRe2P at the PBE level of DFT.

Lattice parameters (Å, degrees): 2.921 2.921 6.320 90.00 90.00 90.00
Fractional coordinates of all 4 atoms:
Cu1 0.000 0.000 0.000
Re1 0.000 0.000 0.441
Re2 0.500 0.500 0.724
P1 0.500 0.500 0.219

Values from the calculation:
Formation enthalpy at 0 K = 0.0931 eV/atom
Raw total energy = -0.313 hartree per atom

***

No. 10
Computed, not measured: an optimized crystal structure of Te2PdSeN at the PBE level of DFT.

Lattice parameters (Å, degrees): 5.583 5.583 3.594 90.00 90.00 90.00
Fractional coordinates of all 5 atoms:
Te1 0.000 0.500 0.000
Te2 0.500 0.000 0.000
Pd1 0.000 0.000 0.500
Se1 0.500 0.500 0.000
N1 0.500 0.500 0.500

Values from the calculation:
Raw total energy = -0.135 hartree per atom
Polymorph energy (0 for the lowest one) = 248 meV/atom

***

No. 11
Computed, not measured: an optimized crystal structure of Ho2InBi at the PBE level of DFT.

Lattice parameters (Å, degrees): 8.435 8.435 8.435 28.77 28.77 28.77
Fractional coordinates of all 4 atoms:
Ho1 0.246 0.246 0.246
Ho2 0.754 0.754 0.754
In1 0.000 0.000 0.000
Bi1 0.500 0.500 0.500

Values from the calculation:
Formation enthalpy at 0 K = -0.4753 eV/atom
Raw total energy = -0.162 hartree per atom
Polymorph energy (0 for the lowest one) = 62 meV/atom

***

No. 12
Computed, not measured: an optimized crystal structure of LiTl2Hg at the PBE level of DFT.

Lattice parameters (Å, degrees): 9.720 9.720 9.720 152.33 152.33 39.53
Fractional coordinates of all 8 atoms:
Li1 0.250 0.750 0.500
Li2 0.750 0.250 0.500
Tl1 0.000 0.500 0.500
Tl2 0.142 0.142 0.000
Tl3 0.500 0.000 0.500
Tl4 0.858 0.858 0.000
Hg1 0.344 0.344 0.000
Hg2 0.656 0.656 0.000

Values from the calculation:
Formation enthalpy at 0 K = -0.1329 eV/atom
Raw total energy = -0.069 hartree per atom
Polymorph energy (0 for the lowest one) = 0 meV/atom

***

No. 13
Computed, not measured: an optimized crystal structure of LaPbSe at the PBE level of DFT.

Lattice parameters (Å, degrees): 5.096 5.096 5.096 60.00 60.00 60.00
Fractional coordinates of all 3 atoms:
La1 0.000 0.000 0.000
Pb1 0.500 0.500 0.500
Se1 0.250 0.250 0.250

Values from the calculation:
Raw total energy = -0.176 hartree per atom
Polymorph energy (0 for the lowest one) = 431 meV/atom

***

no.,DOS at the Fermi energy (states/eV per cell)
1,17.079
2,2.296
3,1.070
4,5.471
5,0.964
6,5.869
7,8.422
8,1.564
9,2.120
10,4.577
11,1.850
12,2.510
13,2.877